The following is a DFT calculation (PBE) of an optimized crystal structure of Ce2InGe.

The structure belongs to space group Pmmm (No. 47); the cell edges are 3.148, 3.773 and 8.511 Å and the angles 90.00°, 90.00° and 90.00°. The distinct sites, in fractional coordinates, are Ce at (0.000, 0.000, 0.223), In at (0.500, 0.500, 0.500) and Ge at (0.500, 0.500, 0.000).

Its total magnetization is 1.4 μB/cell. The calculated volume comes out at 101.1 Å³ per cell. Its energy of formation is -50 kJ/mol of atoms.